(1)
VASP calculation (GGA-PBE) on an optimized crystal structure of Sm2SbIr.

extended XYZ file:
```
4
Lattice="4.294 0.000 0.000 2.147 3.719 0.000 2.147 1.240 7.005" Properties=species:S:1:pos:R:3 pbc="T T T"
Sb 0.000 0.000 0.000
Ir 4.294 2.479 3.502
Sm 6.441 3.719 5.041
Sm 2.147 1.240 1.964
```

Summary:
As for the formation energy (no corrections): -0.7139 eV/atom. The energy above the most stable polymorph in this dataset comes out at 193 meV/atom. As for the magnetization: 0.000 μB per formula unit. The crystal system is trigonal.

(2)
VASP calculation (GGA-PBE) on an optimized crystal structure of Cs2InI7.

extended XYZ file:
```
10
Lattice="8.766 0.000 0.000 0.000 8.766 0.000 4.383 4.383 6.548" Properties=species:S:1:pos:R:3 pbc="T T T"
I 2.283 6.483 0.000
I 2.283 2.283 0.000
I 0.000 0.000 0.000
Cs 4.383 8.766 3.274
In 4.383 4.383 0.000
I 4.383 4.383 2.949
I 8.766 8.766 3.599
I 6.483 2.283 0.000
I 6.483 6.483 0.000
Cs 8.766 4.383 3.274
```

Summary:
As for the formation energy (no corrections): -0.7321 eV/atom. As for the magnetization: 0.000 μB per formula unit. The crystal system is tetragonal.

(3)
VASP calculation (GGA-PBE) on an optimized crystal structure of La4YMg.

extended XYZ file:
```
12
Lattice="-0.692 4.546 3.506 -8.708 -0.950 -0.487 0.530 -7.361 4.879" Properties=species:S:1:pos:R:3 pbc="T T T"
Y -7.012 -2.252 6.304
La -8.236 -3.490 2.898
La -5.178 -3.164 3.080
Y -2.401 -1.572 1.564
La -6.769 -1.473 0.573
La -0.071 -5.109 6.610
Mg -7.082 -0.178 3.601
La -1.173 -0.326 4.959
La -2.630 -2.350 7.296
La -4.231 -0.668 4.799
Mg -2.321 -3.645 4.268
La -4.955 1.764 1.503
```

Summary:
The energy above the most stable polymorph in this dataset comes out at 212 meV/atom. As for the magnetization: 0.000 μB per formula unit. Its formation enthalpy at 0 K is 188 meV/atom. The crystal system is orthorhombic.

(4)
VASP calculation (GGA-PBE) on an optimized crystal structure of CsKAl2Br8.

extended XYZ file:
```
12
Lattice="-0.161 -5.691 -4.504 -0.601 -6.724 2.668 -10.680 -3.420 -1.148" Properties=species:S:1:pos:R:3 pbc="T T T"
Cs -5.721 -7.918 -1.492
Br -9.125 -9.935 -1.149
Br -2.656 -8.813 0.871
Al -8.448 -11.885 -2.231
Br -6.131 -12.045 -2.112
Br -5.311 -3.790 -0.872
Br -8.923 -6.129 0.031
Br -2.518 -9.706 -3.015
Al -2.993 -3.950 -0.753
Br -2.316 -5.900 -1.835
Br -8.785 -7.023 -3.855
K 0.000 0.000 0.000
```

Summary:
As for the formation energy (no corrections): -1.4173 eV/atom. As for the magnetization: 0.000 μB per formula unit. The crystal system is trigonal.

(5)
VASP calculation (GGA-PBE) on an optimized crystal structure of Cs3H2Pd.

extended XYZ file:
```
12
Lattice="-0.236 5.315 -2.260 -6.610 -1.633 -3.152 -0.632 0.975 9.749" Properties=species:S:1:pos:R:3 pbc="T T T"
Cs -4.379 4.060 2.614
H -2.658 1.840 4.620
Cs -1.074 4.877 4.190
Cs -3.098 0.596 1.724
Cs -5.075 1.432 -3.494
H -1.514 3.622 1.299
Cs -1.770 2.249 -1.918
H -5.963 1.034 3.039
Cs -6.403 -0.221 0.148
H -4.820 2.816 -0.282
Pd -3.305 -0.817 -1.576
Pd 0.000 0.000 0.000
```

Summary:
As for the magnetization: 0.000 μB per formula unit. The value obtained for the uncorrected energy is -2.288 eV per atom. The crystal system is orthorhombic.

(6)
VASP calculation (GGA-PBE) on an optimized crystal structure of ZrSeO.

extended XYZ file:
```
12
Lattice="5.896 0.000 0.000 0.000 5.896 0.000 0.000 0.000 5.896" Properties=species:S:1:pos:R:3 pbc="T T T"
Se 4.960 0.936 3.884
Se 0.936 3.884 4.960
Zr 0.459 0.459 0.459
O 0.888 5.008 2.060
O 3.836 3.836 3.836
Zr 5.437 3.407 2.489
O 5.008 2.060 0.888
Se 2.012 2.012 2.012
Zr 3.407 2.489 5.437
Zr 2.489 5.437 3.407
Se 3.884 4.960 0.936
O 2.060 0.888 5.008
```

Summary:
As for the formation energy (no corrections): -2.3067 eV/atom. The energy above the most stable polymorph in this dataset comes out at 0 meV/atom. As for the magnetization: 0.000 μB per formula unit. The crystal system is cubic.